4
Lattice="3.1551 0.0000 0.0000 0.0000 3.1551 0.0000 0.0000 0.0000 10.0746" Properties=species:S:1:pos:R:3 comment="CaTaCl2 (meta-GGA SCAN, single point on PBEsol structure)" mass_density_g_cm3=4.834 crystal_system=tetragonal m_tot_mub_per_fu=2.55 relative_energy_mev_per_atom=0 pbc="T T T"
Ca 1.5775 1.5775 5.0373
Cl 0.0000 0.0000 6.6435
Cl 0.0000 0.0000 3.4311
Ta 1.5775 1.5775 0.0000

---

4
Lattice="3.6495 0.0000 0.0000 0.0000 3.6495 0.0000 -1.8248 -1.8248 6.3218" Properties=species:S:1:pos:R:3 comment="CaTaCl2 (meta-GGA SCAN, single point on PBEsol structure)" mass_density_g_cm3=5.757 crystal_system=tetragonal m_tot_mub_per_fu=1.16 relative_energy_mev_per_atom=306 pbc="T T T"
Ca 0.0000 1.8248 3.1609
Cl 0.0000 0.0000 0.0000
Cl 1.8248 0.0000 3.1609
Ta 1.8248 1.8248 0.0000

---

4
Lattice="3.3429 0.0013 0.0000 -0.0124 3.7554 0.0000 -1.6653 -1.8783 6.2106" Properties=species:S:1:pos:R:3 comment="CaTc2Cl (meta-GGA SCAN, single point on PBEsol structure)" mass_density_g_cm3=5.783 crystal_system=monoclinic m_tot_mub_per_fu=0.00 relative_energy_mev_per_atom=402 pbc="T T T"
Ca 0.0000 0.0000 0.0000
Tc -0.8388 0.9385 3.1053
Tc 0.8388 -0.9385 3.1053
Cl 1.6653 1.8783 0.0000

---

4
Lattice="-1.3328 0.4054 2.7313 0.2794 -2.9974 0.5813 6.9024 1.2603 3.1810" Properties=species:S:1:pos:R:3 comment="CaTc2Cl (meta-GGA SCAN, single point on PBEsol structure)" mass_density_g_cm3=6.226 crystal_system=tetragonal m_tot_mub_per_fu=0.00 relative_energy_mev_per_atom=0 pbc="T T T"
Ca 3.4749 0.6345 1.6014
Tc 0.3417 0.0624 0.1575
Tc 0.9323 -1.0296 2.3287
Cl 4.5514 -0.3688 3.9965

---

4
Lattice="-3.3548 0.1620 -1.5086 0.2965 -3.5204 -1.0373 -2.1913 -1.5708 4.7045" Properties=species:S:1:pos:R:3 comment="CaTc2Cl (meta-GGA SCAN, single point on PBEsol structure)" mass_density_g_cm3=6.134 crystal_system=tetragonal m_tot_mub_per_fu=0.00 relative_energy_mev_per_atom=1222 pbc="T T T"
Ca -1.5292 -1.6792 -1.2730
Tc -1.5225 -1.0914 3.2686
Tc -0.6688 -0.4794 1.4359
Cl -2.6248 -2.4646 1.0793

---

4
Lattice="3.5545 0.0000 0.0000 1.7772 4.8413 -0.0705 1.7772 1.7821 4.5019" Properties=species:S:1:pos:R:3 comment="CaTc2Cl (meta-GGA SCAN, single point on PBEsol structure)" mass_density_g_cm3=5.787 crystal_system=orthorhombic m_tot_mub_per_fu=0.00 relative_energy_mev_per_atom=559 pbc="T T T"
Ca 3.5545 3.4403 2.3017
Tc 3.5545 0.0489 0.0327
Tc 1.7772 1.2661 0.8471
Cl 5.3317 5.1799 3.4656

---

Formation energy from raw total energies across the listed records, respectively: -480; -174; 99; -303; 919; 256 meV per atom.